1.
Here is Pm3TlFe3 after structural relaxation from Alexandria via LeMat-Bulk. Energies are from PBE.

Structure (CIF):
```
data_Pm3TlFe3
_symmetry_space_group_name_H-M 'P 63/m'
_symmetry_Int_Tables_number 176
_symmetry_space_group_name_Hall '-P 6c'
_cell_length_a 9.9081
_cell_length_b 9.9081
_cell_length_c 3.9514
_cell_angle_alpha 90.00
_cell_angle_beta 90.00
_cell_angle_gamma 120.00
loop_
_atom_site_label
_atom_site_type_symbol
_atom_site_fract_x
_atom_site_fract_y
_atom_site_fract_z
_atom_site_occupancy
Pm1 Pm 0.0670 0.6835 0.2500 1
Tl1 Tl 0.3333 0.6667 0.7500 1
Fe1 Fe 0.0187 0.8692 0.7500 1
```

Values from the calculation:
Fermi-level density of states (states/eV/f.u.): 7.72
Energy relative to the elements (eV/atom): -0.05
Uncorrected energy (eV/atom): -6.05



2.
Here is Re2RhSe after structural relaxation from Alexandria via LeMat-Bulk. Energies are from PBE.

Structure (CIF):
```
data_Re2RhSe
_symmetry_space_group_name_H-M 'P 4/m m m'
_symmetry_Int_Tables_number 123
_symmetry_space_group_name_Hall '-P 4 2'
_cell_length_a 2.986
_cell_length_b 2.986
_cell_length_c 6.654
_cell_angle_alpha 90.00
_cell_angle_beta 90.00
_cell_angle_gamma 90.00
loop_
_atom_site_label
_atom_site_type_symbol
_atom_site_fract_x
_atom_site_fract_y
_atom_site_fract_z
_atom_site_occupancy
Re1 Re 0.000 0.000 0.233 1
Rh1 Rh 0.500 0.500 0.500 1
Se1 Se 0.500 0.500 0.000 1
```

Values from the calculation:
Fermi-level density of states (states/eV/f.u.): 5.37
Uncorrected energy (eV/atom): -8.48